1.
The following is a PBE calculation of a relaxed structure of KRh, from the Alexandria database.

a = 17.4946 Å, b = 2.9611 Å, c = 5.7258 Å
α = 90.00°, β = 90.00°, γ = 90.00°
With the nearest neighbours (Å) after each atom.
Fractional coordinates of all 12 atoms:
K: 0.5000 0.0088 0.4280  2 K 2.96, 4 Rh 3.22-3.23
K: 0.1914 0.4922 0.9096  2 K 2.96
K: 0.0000 0.9912 0.9280  2 K 2.96, 4 Rh 3.22-3.23
K: 0.8086 0.4922 0.9096  2 K 2.96
K: 0.3086 0.5078 0.4096  2 K 2.96
K: 0.6914 0.5078 0.4096  2 K 2.96
Rh: 0.1202 0.9889 0.4132  2 Rh 2.57
Rh: 0.5000 0.5114 0.9283  4 Rh 2.57
Rh: 0.6202 0.0111 0.9132  2 Rh 2.57
Rh: 0.3798 0.0111 0.9132  2 Rh 2.57
Rh: 0.0000 0.4886 0.4283  4 Rh 2.57
Rh: 0.8798 0.9889 0.4132  2 Rh 2.57

**V**: 24.718 A^3/atom
**DOS at the Fermi energy**: 0.9035 states/eV per atom
**Electronic total energy**: -44.1 eV for the cell shown
**M_tot**: 0.69 μB/f.u.

2.
The following is a PBE calculation of a relaxed structure of SbWI, from the Alexandria database.

a = 3.6515 Å, b = 6.5852 Å, c = 8.8651 Å
α = 122.03°, β = 89.90°, γ = 89.99°
With the nearest neighbours (Å) after each atom.
Fractional coordinates of all 6 atoms:
I: 0.4988 0.6848 0.7592  2 W 2.81-2.82
I: 0.5012 0.3152 0.2408  2 W 2.81-2.82
Sb: 0.9989 0.1697 0.7369  4 W 2.84-2.85
Sb: 0.0011 0.8303 0.2631  4 W 2.84-2.85
W: 0.4999 0.1911 0.5003  1 W 2.51, 1 I 2.81
W: 0.5001 0.8089 0.4997  1 W 2.51, 1 I 2.81

**V**: 30.119 A^3/atom
**DOS at the Fermi energy**: 0.5243 states/eV per atom
**M_tot**: 0.00 μB/f.u.
**Formation energy (no corrections)**: 0.3281 eV per atom

3.
The following is a PBE calculation of a relaxed structure of AgP2Cl, from the Alexandria database.

a = 6.3529 Å, b = 6.3160 Å, c = 9.8228 Å
α = 90.00°, β = 90.00°, γ = 90.00°
With the nearest neighbours (Å) after each atom.
Fractional coordinates of all 16 atoms:
Ag: 0.7500 0.5000 0.8788  4 P 2.54-2.55
Ag: 0.2500 0.5000 0.1212  4 P 2.54-2.55
Ag: 0.2500 0.0000 0.8788  4 P 2.54-2.55
Ag: 0.7500 0.0000 0.1212  4 P 2.54-2.55
P: 0.8691 0.1188 0.8455  1 P 2.13
P: 0.3691 0.1188 0.1545  1 P 2.13
P: 0.1309 0.6188 0.8455  1 P 2.13
P: 0.3691 0.3812 0.8455  1 P 2.13
P: 0.8691 0.3812 0.1545  1 P 2.13
P: 0.6309 0.6188 0.1545  1 P 2.13
P: 0.6309 0.8812 0.8455  1 P 2.13
P: 0.1309 0.8812 0.1545  1 P 2.13
Cl: 0.7500 0.0000 0.6203  2 P 2.46
Cl: 0.2500 0.5000 0.6203  2 P 2.46
Cl: 0.2500 0.0000 0.3797  2 P 2.46
Cl: 0.7500 0.5000 0.3797  2 P 2.46

**V**: 24.634 A^3/atom
**DOS at the Fermi energy**: 0.2222 states/eV per atom
**M_tot**: 0.00 μB/f.u.
**Formation energy (no corrections)**: 0.2028 eV per atom